22
Lattice="9.850 0.068 0.068 0.040 9.850 0.068 0.040 0.040 9.851" Properties=species:S:1:pos:R:3 comment="Rb4TmI6 (SCAN, PBEsol geometry)" e_form_raw_ev_per_atom=-1.499 crystal_system=trigonal total_magnetization_mub_per_fu=1.03 dos_at_fermi_per_ev_fu=2.62 pbc="T T T"
I 5.530 2.092 4.299
I 0.728 2.931 9.296
I 2.929 9.294 0.762
I 4.278 5.542 2.104
I 7.002 0.664 9.224
I 4.401 7.866 5.687
I 9.286 0.754 2.957
I 9.203 7.027 0.690
I 5.653 4.416 7.882
I 0.645 9.205 7.029
I 2.077 4.283 5.548
I 7.854 5.675 4.438
Rb 6.252 8.621 2.564
Rb 7.408 3.699 1.358
Rb 7.448 7.469 7.489
Rb 8.603 2.547 6.283
Rb 3.678 1.338 7.422
Rb 2.483 2.490 2.496
Rb 2.523 6.259 8.628
Rb 1.327 7.411 3.702
Tm 0.000 0.000 0.000
Tm 4.965 4.979 4.993

***

40
Lattice="5.411 0.045 0.000 -0.390 9.274 0.000 0.000 0.000 10.803" Properties=species:S:1:pos:R:3 comment="BaCaCoF7 (SCAN, PBEsol geometry)" e_form_raw_ev_per_atom=-3.409 crystal_system=monoclinic total_magnetization_mub_per_fu=0.10 dos_at_fermi_per_ev_fu=0.00 pbc="T T T"
F 1.617 8.290 5.093
F 0.211 5.502 9.691
F 2.216 6.747 2.941
F 2.610 7.208 8.342
F 3.077 5.991 5.716
F -0.067 2.500 8.468
F 4.614 8.454 4.289
F 3.404 1.028 5.709
F 3.272 1.354 10.488
F 0.406 0.865 6.513
F 1.246 4.374 2.635
F 3.775 4.945 8.167
F 1.944 3.328 5.087
F 4.722 3.264 6.022
F 0.494 1.418 0.621
F 1.812 3.654 0.308
F 3.970 0.308 8.037
F 2.805 2.572 7.862
F -0.262 7.137 7.735
F 1.749 7.965 0.315
F 3.209 5.665 10.495
F 5.088 6.819 2.334
F 1.051 9.011 2.766
F 2.411 2.110 2.460
F 4.527 7.901 10.182
F 0.299 6.055 4.781
F 4.810 3.817 1.112
F 5.283 2.182 3.067
Co 4.124 6.465 9.116
Co 0.702 7.491 3.715
Co 4.319 1.828 7.088
Co 0.897 2.854 1.687
Ca 1.225 5.936 0.855
Ca 3.796 3.383 9.948
Ca 3.601 8.019 6.256
Ca 1.420 1.300 4.547
Ba 3.594 9.141 1.648
Ba 1.427 0.178 9.155
Ba 1.232 4.814 7.049
Ba 3.789 4.504 3.754

***

4
Lattice="-1.300 -0.420 2.962 -4.287 -1.284 -2.064 4.065 -3.334 -0.485" Properties=species:S:1:pos:R:3 comment="CaCuMo2 (SCAN, PBEsol geometry)" polymorph_energy_mev_per_atom=97.1 crystal_system=orthorhombic total_magnetization_mub_per_fu=0.00 dos_at_fermi_per_ev_fu=3.09 pbc="T T T"
Ca 1.269 -4.180 -0.036
Mo -0.101 -2.019 1.465
Mo 0.040 -0.131 -0.001
Cu -1.459 -2.896 -1.052

***

4
Lattice="3.975 0.000 0.000 1.987 3.442 0.000 1.987 1.147 6.596" Properties=species:S:1:pos:R:3 comment="Y2PSe (SCAN, PBEsol geometry)" polymorph_energy_mev_per_atom=0.0 e_form_raw_ev_per_atom=-2.036 crystal_system=trigonal total_magnetization_mub_per_fu=0.00 dos_at_fermi_per_ev_fu=1.18 pbc="T T T"
Se 0.000 0.000 0.000
Y 1.987 1.147 1.780
Y 5.962 3.442 4.816
P 3.975 2.295 3.298